i:
Computed, not measured: a relaxed structure of SmSc2N at the PBE level of DFT.

Summary:
Symmetry   R-3m, No. 166

Cell lengths 9.2052, 9.2052, 9.2052 Å; angles 20.34, 20.34, 20.34 degrees
Sites, in units of the cell vectors:
Sm (0.0000, 0.0000, 0.0000)
Sc (0.1222, 0.1222, 0.1222)
Sc (0.8778, 0.8778, 0.8778)
N (0.5000, 0.5000, 0.5000)

ii:
Computed, not measured: a relaxed structure of SmSc2N at the PBE level of DFT.

Summary:
Symmetry   P4/mmm, No. 123

Cell lengths 2.9941, 2.9941, 8.4324 Å; angles 90.00, 90.00, 90.00 degrees
Sites, in units of the cell vectors:
Sm (0.0000, 0.0000, 0.0000)
Sc (0.5000, 0.5000, 0.3490)
Sc (0.5000, 0.5000, 0.6510)
N (0.0000, 0.0000, 0.5000)

Energetically preferred structure: i | next structure: +545 meV per atom

i:
Computed, not measured: a relaxed structure of SmScN at the PBE level of DFT.

Summary:
Symmetry   Cmcm, No. 63

Cell lengths 12.0825, 12.0825, 3.1353 Å; angles 90.00, 90.00, 165.42 degrees
Sites, in units of the cell vectors:
Sm (0.1856, 0.8144, 0.7500)
Sm (0.8144, 0.1856, 0.2500)
Sc (0.0717, 0.9283, 0.2500)
Sc (0.9283, 0.0717, 0.7500)
N (0.4079, 0.5921, 0.2500)
N (0.5921, 0.4079, 0.7500)

ii:
Computed, not measured: a relaxed structure of SmScN at the PBE level of DFT.

Summary:
Symmetry   P3m1, No. 156

Cell lengths 3.3855, 3.3855, 5.9662 Å; angles 90.00, 90.00, 120.00 degrees
Sites, in units of the cell vectors:
Sm (0.0000, 0.0000, 0.0000)
Sc (0.6667, 0.3333, 0.5635)
N (0.3333, 0.6667, 0.7364)

Energetically preferred structure: ii | next structure: +310 meV per atom

i:
Computed, not measured: a relaxed structure of ScSnTeN2 at the PBE level of DFT.

Summary:
Symmetry   P4/mmm, No. 123

Cell lengths 4.2749, 4.2749, 5.8746 Å; angles 90.00, 90.00, 90.00 degrees
Sites, in units of the cell vectors:
Sc (0.0000, 0.0000, 0.0000)
Sn (0.5000, 0.5000, 0.5000)
Te (0.0000, 0.0000, 0.5000)
N (0.0000, 0.5000, 0.0000)
N (0.5000, 0.0000, 0.0000)

ii:
Computed, not measured: a relaxed structure of ScSnTeN2 at the PBE level of DFT.

Summary:
Symmetry   P4/mmm, No. 123

Cell lengths 4.1440, 4.1440, 5.9485 Å; angles 90.00, 90.00, 90.00 degrees
Sites, in units of the cell vectors:
Sc (0.0000, 0.0000, 0.0000)
Sn (0.5000, 0.5000, 0.5000)
Te (0.5000, 0.5000, 0.0000)
N (0.0000, 0.5000, 0.5000)
N (0.5000, 0.0000, 0.5000)

Energetically preferred structure: i | next structure: +230 meV per atom

i:
Computed, not measured: a relaxed structure of ScSnTe2N at the PBE level of DFT.

Summary:
Symmetry   P4/mmm, No. 123

Cell lengths 5.8063, 5.8063, 3.9536 Å; angles 90.00, 90.00, 90.00 degrees
Sites, in units of the cell vectors:
Sc (0.0000, 0.0000, 0.0000)
Sn (0.5000, 0.5000, 0.5000)
Te (0.0000, 0.5000, 0.0000)
Te (0.5000, 0.0000, 0.0000)
N (0.0000, 0.0000, 0.5000)

ii:
Computed, not measured: a relaxed structure of ScSnTe2N at the PBE level of DFT.

Summary:
Symmetry   P4/mmm, No. 123

Cell lengths 5.7644, 5.7644, 3.9607 Å; angles 90.00, 90.00, 90.00 degrees
Sites, in units of the cell vectors:
Sc (0.0000, 0.0000, 0.0000)
Sn (0.5000, 0.5000, 0.5000)
Te (0.0000, 0.5000, 0.5000)
Te (0.5000, 0.0000, 0.5000)
N (0.5000, 0.5000, 0.0000)

Energetically preferred structure: i | next structure: +433 meV per atom

i:
Computed, not measured: a relaxed structure of SrScTe2N at the PBE level of DFT.

Summary:
Symmetry   P4/mmm, No. 123

Cell lengths 5.7855, 5.7855, 4.1966 Å; angles 90.00, 90.00, 90.00 degrees
Sites, in units of the cell vectors:
Sr (0.0000, 0.0000, 0.0000)
Sc (0.5000, 0.5000, 0.5000)
Te (0.0000, 0.5000, 0.5000)
Te (0.5000, 0.0000, 0.5000)
N (0.5000, 0.5000, 0.0000)

ii:
Computed, not measured: a relaxed structure of SrScTe2N at the PBE level of DFT.

Summary:
Symmetry   P4/mmm, No. 123

Cell lengths 6.0795, 6.0795, 4.6186 Å; angles 90.00, 90.00, 90.00 degrees
Sites, in units of the cell vectors:
Sr (0.0000, 0.0000, 0.0000)
Sc (0.5000, 0.5000, 0.5000)
Te (0.0000, 0.5000, 0.0000)
Te (0.5000, 0.0000, 0.0000)
N (0.0000, 0.0000, 0.5000)

Energetically preferred structure: i | next structure: +1176 meV per atom

i:
Computed, not measured: a relaxed structure of Sc3TaN4 at the PBE level of DFT.

Summary:
Symmetry   Cmmm, No. 65

Cell lengths 5.4805, 5.4805, 3.1535 Å; angles 90.00, 90.00, 109.18 degrees
Sites, in units of the cell vectors:
Sc (0.0000, 0.0000, 0.0000)
Sc (0.0000, 0.5000, 0.5000)
Sc (0.5000, 0.0000, 0.5000)
Ta (0.5000, 0.5000, 0.0000)
N (0.2561, 0.7439, 0.0000)
N (0.2572, 0.2572, 0.5000)
N (0.7428, 0.7428, 0.5000)
N (0.7439, 0.2561, 0.0000)

ii:
Computed, not measured: a relaxed structure of Sc3TaN4 at the PBE level of DFT.

Summary:
Symmetry   Pmmn, No. 59

Cell lengths 4.4624, 7.3826, 6.4190 Å; angles 90.00, 90.00, 90.00 degrees
Sites, in units of the cell vectors:
Sc (0.2500, 0.0001, 0.1676)
Sc (0.2500, 0.2500, 0.6608)
Sc (0.2500, 0.4999, 0.1676)
Sc (0.7500, 0.9999, 0.8324)
Sc (0.7500, 0.5001, 0.8324)
Sc (0.7500, 0.7500, 0.3392)
Ta (0.2500, 0.7500, 0.6694)
Ta (0.7500, 0.2500, 0.3306)
N (0.2500, 0.2500, 0.3305)
N (0.2500, 0.5079, 0.8265)
N (0.2500, 0.7500, 0.3518)
N (0.2500, 0.9921, 0.8265)
N (0.7500, 0.0079, 0.1735)
N (0.7500, 0.2500, 0.6482)
N (0.7500, 0.4921, 0.1735)
N (0.7500, 0.7500, 0.6695)

Energetically preferred structure: i | next structure: +147 meV per atom

i:
Computed, not measured: a relaxed structure of Sc3TcN at the PBE level of DFT.

Summary:
Symmetry   Pm-3m, No. 221

Cell lengths 4.8914, 4.8914, 4.8914 Å; angles 90.00, 90.00, 90.00 degrees
Sites, in units of the cell vectors:
Sc (0.0000, 0.0000, 0.5000)
Sc (0.0000, 0.5000, 0.0000)
Sc (0.5000, 0.0000, 0.0000)
Tc (0.0000, 0.0000, 0.0000)
N (0.5000, 0.5000, 0.5000)

ii:
Computed, not measured: a relaxed structure of Sc3TcN at the PBE level of DFT.

Summary:
Symmetry   Pm-3m, No. 221

Cell lengths 4.3628, 4.3628, 4.3628 Å; angles 90.00, 90.00, 90.00 degrees
Sites, in units of the cell vectors:
Sc (0.0000, 0.0000, 0.5000)
Sc (0.0000, 0.5000, 0.0000)
Sc (0.5000, 0.0000, 0.0000)
Tc (0.5000, 0.5000, 0.5000)
N (0.0000, 0.0000, 0.0000)

Energetically preferred structure: ii | next structure: +1749 meV per atom

i:
Computed, not measured: a relaxed structure of Sc2TcN2 at the PBE level of DFT.

Summary:
Symmetry   I4/mmm, No. 139

Cell lengths 5.5131, 5.5131, 5.5131 Å; angles 137.21, 137.21, 62.12 degrees
Sites, in units of the cell vectors:
Sc (0.1785, 0.1785, 0.0000)
Sc (0.8215, 0.8215, 0.0000)
Tc (0.5000, 0.5000, 0.0000)
N (0.2500, 0.7500, 0.5000)
N (0.7500, 0.2500, 0.5000)

ii:
Computed, not measured: a relaxed structure of Sc2TcN2 at the PBE level of DFT.

Summary:
Symmetry   P4/mbm, No. 127

Cell lengths 6.6213, 6.6213, 2.8835 Å; angles 90.00, 90.00, 90.00 degrees
Sites, in units of the cell vectors:
Sc (0.1522, 0.3478, 0.0000)
Sc (0.3478, 0.8478, 0.0000)
Sc (0.6522, 0.1522, 0.0000)
Sc (0.8478, 0.6522, 0.0000)
Tc (0.0000, 0.0000, 0.0000)
Tc (0.5000, 0.5000, 0.0000)
N (0.1704, 0.6704, 0.5000)
N (0.3296, 0.1704, 0.5000)
N (0.6704, 0.8296, 0.5000)
N (0.8296, 0.3296, 0.5000)

Energetically preferred structure: i | next structure: +272 meV per atom

i:
Computed, not measured: a relaxed structure of ScTcTe2N at the PBE level of DFT.

Summary:
Symmetry   P4/mmm, No. 123

Cell lengths 5.4424, 5.4424, 3.7308 Å; angles 90.00, 90.00, 90.00 degrees
Sites, in units of the cell vectors:
Sc (0.0000, 0.0000, 0.0000)
Tc (0.5000, 0.5000, 0.5000)
Te (0.0000, 0.5000, 0.5000)
Te (0.5000, 0.0000, 0.5000)
N (0.5000, 0.5000, 0.0000)

ii:
Computed, not measured: a relaxed structure of ScTcTe2N at the PBE level of DFT.

Summary:
Symmetry   P4/mmm, No. 123

Cell lengths 5.6443, 5.6443, 3.8544 Å; angles 90.00, 90.00, 90.00 degrees
Sites, in units of the cell vectors:
Sc (0.0000, 0.0000, 0.0000)
Tc (0.5000, 0.5000, 0.5000)
Te (0.0000, 0.5000, 0.0000)
Te (0.5000, 0.0000, 0.0000)
N (0.0000, 0.0000, 0.5000)

Energetically preferred structure: i | next structure: +767 meV per atom

i:
Computed, not measured: a relaxed structure of Sc2TeN at the PBE level of DFT.

Summary:
Symmetry   I-42d, No. 122

Cell lengths 6.4350, 6.4350, 6.4350 Å; angles 124.53, 124.53, 82.31 degrees
Sites, in units of the cell vectors:
Sc (0.0165, 0.6250, 0.8915)
Sc (0.3750, 0.2665, 0.3915)
Sc (0.7335, 0.1250, 0.1085)
Sc (0.8750, 0.9835, 0.6085)
Te (0.2500, 0.7500, 0.5000)
Te (0.5000, 0.5000, 0.0000)
N (0.0000, 0.0000, 0.0000)
N (0.7500, 0.2500, 0.5000)

ii:
Computed, not measured: a relaxed structure of Sc2TeN at the PBE level of DFT.

Summary:
Symmetry   Fm-3m, No. 225

Cell lengths 4.6786, 4.6786, 4.6786 Å; angles 60.00, 60.00, 60.00 degrees
Sites, in units of the cell vectors:
Sc (0.2500, 0.2500, 0.2500)
Sc (0.7500, 0.7500, 0.7500)
Te (0.0000, 0.0000, 0.0000)
N (0.5000, 0.5000, 0.5000)

iii:
Computed, not measured: a relaxed structure of Sc2TeN at the PBE level of DFT.

Summary:
Symmetry   R-3m, No. 166

Cell lengths 8.1371, 8.1371, 8.1371 Å; angles 24.08, 24.08, 24.08 degrees
Sites, in units of the cell vectors:
Sc (0.1196, 0.1196, 0.1196)
Sc (0.8804, 0.8804, 0.8804)
Te (0.0000, 0.0000, 0.0000)
N (0.5000, 0.5000, 0.5000)

Energetically preferred structure: i | next structure: +284 meV per atom

i:
Computed, not measured: a relaxed structure of ScTiTeN2 at the PBE level of DFT.

Summary:
Symmetry   P4/mmm, No. 123

Cell lengths 3.9911, 3.9911, 5.4932 Å; angles 90.00, 90.00, 90.00 degrees
Sites, in units of the cell vectors:
Sc (0.0000, 0.0000, 0.0000)
Ti (0.5000, 0.5000, 0.5000)
Te (0.5000, 0.5000, 0.0000)
N (0.0000, 0.5000, 0.5000)
N (0.5000, 0.0000, 0.5000)

ii:
Computed, not measured: a relaxed structure of ScTiTeN2 at the PBE level of DFT.

Summary:
Symmetry   P4/mmm, No. 123

Cell lengths 4.0762, 4.0762, 5.6946 Å; angles 90.00, 90.00, 90.00 degrees
Sites, in units of the cell vectors:
Sc (0.0000, 0.0000, 0.0000)
Ti (0.5000, 0.5000, 0.5000)
Te (0.0000, 0.0000, 0.5000)
N (0.0000, 0.5000, 0.0000)
N (0.5000, 0.0000, 0.0000)

Energetically preferred structure: i | next structure: +700 meV per atom

i:
Computed, not measured: a relaxed structure of ScTiTe2N at the PBE level of DFT.

Summary:
Symmetry   P4/mmm, No. 123

Cell lengths 5.4865, 5.4865, 3.7672 Å; angles 90.00, 90.00, 90.00 degrees
Sites, in units of the cell vectors:
Sc (0.0000, 0.0000, 0.0000)
Ti (0.5000, 0.5000, 0.5000)
Te (0.0000, 0.5000, 0.5000)
Te (0.5000, 0.0000, 0.5000)
N (0.5000, 0.5000, 0.0000)

ii:
Computed, not measured: a relaxed structure of ScTiTe2N at the PBE level of DFT.

Summary:
Symmetry   P4/mmm, No. 123

Cell lengths 5.6273, 5.6273, 3.9246 Å; angles 90.00, 90.00, 90.00 degrees
Sites, in units of the cell vectors:
Sc (0.0000, 0.0000, 0.0000)
Ti (0.5000, 0.5000, 0.5000)
Te (0.0000, 0.5000, 0.0000)
Te (0.5000, 0.0000, 0.0000)
N (0.0000, 0.0000, 0.5000)

Energetically preferred structure: i | next structure: +563 meV per atom